Entry from Alexandria via LeMat-Bulk: a relaxed KScCu2 crystal (PBE-GGA).

Values from the calculation:
Symmetry   Pm (6)
ΔE_f   0.25 eV per atom
VASP energy   -3.658 eV/atom
Fermi-level density of states   2.7 states/eV per cell

Cell and atoms, written as POSCAR:
```
KScCu2
1.0
3.534 0.000 0.000
0.000 4.098 0.000
-1.760 0.000 7.034
K Sc Cu
1 1 2
Direct
0.000 0.000 0.000 K
0.719 0.500 0.440 Sc
0.262 0.000 0.528 Cu
0.358 0.500 0.720 Cu
```